First-principles (GGA-PBE) data for VCuI4 after structural relaxation, as listed in the Alexandria database.

The calculation puts the uncorrected formation energy at -0.105 eV/atom.

The structure belongs to space group P4_2/mmc (No. 131); the cell edges are 7.787, 7.787 and 9.609 Å and the angles 90.00°, 90.00° and 90.00°. The inequivalent atoms are V at (0.000, 0.500, 0.000), Cu at (0.000, 0.000, 0.000) and I at (0.237, 0.250, 0.000).

=====

First-principles (GGA-PBE) data for MoPb2Cl after structural relaxation, as listed in the Alexandria database.

The offset from the most stable computed form is 0.432 eV/atom. The calculation puts the uncorrected formation energy at 0.661 eV/atom.

The structure belongs to space group Fm-3m (No. 225); the cell edges are 7.391, 7.391 and 7.391 Å and the angles 90.00°, 90.00° and 90.00°. The inequivalent atoms are Mo at (0.000, 0.000, 0.000), Pb at (0.250, 0.250, 0.250) and Cl at (0.000, 0.000, 0.500).